No. 1
First-principles (PBE) data for La2Y2Os after structural relaxation, as listed in the Alexandria database.

a b c (Å): 7.2785 7.2785 5.7043
angles (deg): 90.00 90.00 90.00
Last column: nearest neighbours and their distance in Å.
Element x y z (fractional)
La: 0.1546 0.3454 0.0000  2 Os 2.75
La: 0.3454 0.8454 0.0000  2 Os 2.75
La: 0.6546 0.1546 0.0000  2 Os 2.75
La: 0.8454 0.6546 0.0000  2 Os 2.75
Y: 0.1705 0.6705 0.5000  6 La 3.37-3.71, 1 Y 3.51
Y: 0.3295 0.1705 0.5000  6 La 3.37-3.71, 1 Y 3.51
Y: 0.6705 0.8295 0.5000  6 La 3.37-3.71, 1 Y 3.51
Y: 0.8295 0.3295 0.5000  6 La 3.37-3.71, 1 Y 3.51
Os: 0.0000 0.0000 0.0000  4 La 2.75
Os: 0.5000 0.5000 0.0000  4 La 2.75

Computed properties:
ΔH_f (0 K) = 0.218 eV per atom
crystal system = tetragonal
theoretical density = 7.10 g/cm3

No. 2
First-principles (PBE) data for La3YOs after structural relaxation, as listed in the Alexandria database.

a b c (Å): 5.6557 5.6557 5.6557
angles (deg): 90.00 90.00 90.00
Last column: nearest neighbours and their distance in Å.
Element x y z (fractional)
La: 0.0000 0.0000 0.5000  2 Os 2.83
La: 0.0000 0.5000 0.0000  2 Os 2.83
La: 0.5000 0.0000 0.0000  2 Os 2.83
Y: 0.5000 0.5000 0.5000  12 La 4.00
Os: 0.0000 0.0000 0.0000  6 La 2.83

Computed properties:
ΔH_f (0 K) = 0.033 eV per atom
crystal system = cubic
theoretical density = 6.39 g/cm3

No. 3
First-principles (PBE) data for La3YOs after structural relaxation, as listed in the Alexandria database.

a b c (Å): 5.5011 5.5011 5.5011
angles (deg): 90.00 90.00 90.00
Last column: nearest neighbours and their distance in Å.
Element x y z (fractional)
La: 0.0000 0.0000 0.5000  2 Y 2.75
La: 0.0000 0.5000 0.0000  2 Y 2.75
La: 0.5000 0.0000 0.0000  2 Y 2.75
Y: 0.0000 0.0000 0.0000  6 La 2.75
Os: 0.5000 0.5000 0.5000  12 La 3.89

Computed properties:
ΔH_f (0 K) = 1.570 eV per atom
crystal system = cubic
theoretical density = 6.94 g/cm3

No. 4
First-principles (PBE) data for La2Y2Os after structural relaxation, as listed in the Alexandria database.

a b c (Å): 12.2513 12.2513 5.9673
angles (deg): 91.34 91.34 21.02
Last column: nearest neighbours and their distance in Å.
Element x y z (fractional)
La: 0.0509 0.0509 0.2557  1 Os 2.70
La: 0.3079 0.3079 0.5402  2 Os 2.84
La: 0.6921 0.6921 0.4598  2 Os 2.84
La: 0.9491 0.9491 0.7443  1 Os 2.70
Y: 0.1888 0.1888 0.9900  1 Os 2.76
Y: 0.4288 0.4288 0.2324  2 Os 2.84
Y: 0.5712 0.5712 0.7676  2 Os 2.84
Y: 0.8112 0.8112 0.0100  1 Os 2.76
Os: 0.1281 0.1281 0.5916  3 La 2.70-2.84, 3 Y 2.76-2.84
Os: 0.8719 0.8719 0.4084  3 La 2.70-2.84, 3 Y 2.76-2.84

Computed properties:
ΔH_f (0 K) = -0.086 eV per atom
crystal system = monoclinic
theoretical density = 6.68 g/cm3

Taking the records one at a time from the top gives relative energy among the computed polymorphs values of 304, 0, 1537, 0 meV per atom.